The following is a DFT calculation (GGA-PBE) of TaMnP2N after structural relaxation.

a b c (Å): 4.910 4.910 3.945
angles (deg): 90.00 90.00 90.00
Element x y z (fractional)
Ta 0.000 0.000 0.000
Mn 0.500 0.500 0.500
P 0.000 0.500 0.000
P 0.500 0.000 0.000
N 0.000 0.000 0.500

## Properties
As for the uncorrected formation energy: 481 meV per atom. For the volume, the calculation gives 19.02 A^3/atom.



The following is a DFT calculation (GGA-PBE) of MnCoGePt after structural relaxation.

a b c (Å): 4.277 4.277 4.277
angles (deg): 60.00 60.00 60.00
Element x y z (fractional)
Mn 0.000 0.000 0.000
Co 0.250 0.250 0.250
Ge 0.500 0.500 0.500
Pt 0.750 0.750 0.750

## Properties
The value obtained for the formation energy is -0.20 eV per atom. For the volume, the calculation gives 13.83 A^3/atom.